TiVGeMo | PBE-GGA | optimized geometry

a b c (Å): 4.376 4.376 4.376
angles (deg): 60.00 60.00 60.00
Positions (direct):
Mo  0.250  0.250  0.250
Ti  0.000  0.000  0.000
Ge  0.750  0.750  0.750
V  0.500  0.500  0.500

Properties
- formation energy from the elements (eV/atom) = -0.23
- total moment (μB/atom) = 0.000
- space group = F-43m, No. 216



Be2GaC | PBE-GGA | optimized geometry

a b c (Å): 5.408 5.408 5.375
angles (deg): 59.80 59.80 90.00
Positions (direct):
Be  0.376  0.125  0.250
Be  0.374  0.625  0.250
Be  0.375  0.624  0.750
Be  0.875  0.626  0.750
C  0.500  0.500  0.000
C  0.250  0.750  0.500
Ga  0.000  0.000  0.000
Ga  0.750  0.250  0.500

Properties
- formation energy from the elements (eV/atom) = 0.43
- total moment (μB/atom) = 0.000
- energy relative to the lowest polymorph listed for this composition (meV per atom) = 0
- space group = I-42d, No. 122



Al2AgPbC | PBE-GGA | optimized geometry

a b c (Å): 4.770 5.680 4.770
angles (deg): 90.00 90.00 90.00
Last column: magnetic moment on the atom in μB.
Positions (direct):
Pb  0.000  0.500  0.000  -0.02
C  0.500  0.500  0.500  0.81
Al  0.000  0.000  0.500  0.01
Al  0.500  0.000  0.000  0.01
Ag  0.000  0.000  0.000  0.01

Properties
- formation energy from the elements (eV/atom) = 1.64
- total moment (μB/atom) = 0.339
- space group = P4/mmm, No. 123



Na5B7C3 | PBE-GGA | optimized geometry

a b c (Å): 2.894 2.894 42.717
angles (deg): 90.00 90.00 120.00
Positions (direct):
Na  0.000  0.000  0.997
Na  0.000  0.000  0.099
Na  0.000  0.000  0.201
Na  0.000  0.000  0.303
Na  0.000  0.000  0.402
Na  0.000  0.000  0.500
Na  0.000  0.000  0.599
Na  0.000  0.000  0.701
Na  0.000  0.000  0.800
Na  0.000  0.000  0.898
B  0.333  0.667  0.048
B  0.667  0.333  0.150
B  0.333  0.667  0.150
B  0.667  0.333  0.048
B  0.333  0.667  0.252
B  0.333  0.667  0.353
B  0.667  0.333  0.252
B  0.333  0.667  0.549
B  0.667  0.333  0.451
B  0.333  0.667  0.650
B  0.333  0.667  0.751
B  0.667  0.333  0.650
B  0.333  0.667  0.947
B  0.667  0.333  0.849
C  0.667  0.333  0.353
C  0.333  0.667  0.451
C  0.667  0.333  0.549
C  0.667  0.333  0.751
C  0.333  0.667  0.849
C  0.667  0.333  0.947

Properties
- formation energy from the elements (eV/atom) = 0.16
- total moment (μB/atom) = 0.000
- energy relative to the lowest polymorph listed for this composition (meV per atom) = 43
- space group = P-6m2, No. 187



FeAgAs2Se | PBE-GGA | optimized geometry

a b c (Å): 4.384 4.384 5.415
angles (deg): 90.00 90.00 90.00
Last column: magnetic moment on the atom in μB.
Positions (direct):
As  0.000  0.500  0.000  -0.01
As  0.500  0.000  0.000  -0.01
Se  0.000  0.000  0.500  0.00
Ag  0.500  0.500  0.500  0.00
Fe  0.000  0.000  0.000  0.34

Properties
- total moment (μB/atom) = 0.063
- raw formation energy (eV per atom) = 0.3950
- energy relative to the lowest polymorph listed for this composition (meV per atom) = 0
- space group = P4/mmm, No. 123



Ho2ScSn2 | PBE-GGA | optimized geometry

a b c (Å): 4.909 6.362 8.992
angles (deg): 90.00 105.84 90.00
Positions (direct):
Ho  0.000  0.727  0.000
Ho  0.805  0.476  0.610
Ho  0.195  0.976  0.390
Ho  0.000  0.227  0.000
Sc  0.399  0.978  0.798
Sc  0.601  0.478  0.202
Sn  0.423  0.477  0.847
Sn  0.815  0.976  0.631
Sn  0.185  0.476  0.369
Sn  0.577  0.977  0.153

Properties
- formation energy from the elements (eV/atom) = -0.61
- total moment (μB/atom) = 0.001
- space group = Cmc2_1, No. 36



PmMg2ScHg4 | PBE-GGA | optimized geometry

a b c (Å): 5.015 5.015 8.805
angles (deg): 73.45 73.45 60.00
Positions (direct):
Pm  0.000  0.000  0.000
Mg  0.751  0.751  0.746
Mg  0.249  0.249  0.254
Sc  0.500  0.500  0.500
Hg  0.381  0.381  0.856
Hg  0.871  0.871  0.387
Hg  0.129  0.129  0.613
Hg  0.619  0.619  0.144

Properties
- formation energy from the elements (eV/atom) = -0.43
- total moment (μB/atom) = 0.000
- space group = R-3m, No. 166



Rb3HSe | PBE-GGA | optimized geometry

a b c (Å): 5.473 5.473 5.473
angles (deg): 90.00 90.00 90.00
Positions (direct):
H  0.000  0.000  0.000
Se  0.500  0.500  0.500
Rb  0.000  0.500  0.000
Rb  0.000  0.000  0.500
Rb  0.500  0.000  0.000

Properties
- total moment (μB/atom) = 0.000
- energy relative to the lowest polymorph listed for this composition (meV per atom) = 1
- space group = Pm-3m, No. 221